# 1
# PrTmZnPt

PrTmZnPt after structural relaxation (PBE, Alexandria).

## Properties
ΔE_f: -0.76 eV per atom
Distance to the lowest polymorph of the same formula: 0 meV/atom
Crystal system: orthorhombic
Magnetic moment: 0.000 μB/atom
Fermi-level density of states: 0.834 states/eV per atom
DFT total energy: -39.19 eV for the cell shown

Cell: 4.407 3.899 11.057 Å, 90.00 90.00 90.00°
Space group Amm2 (No. 38)
Asymmetric unit:
Pr (0.000, 0.000, 0.000)
Tm (0.500, 0.000, 0.283)
Zn (0.500, 0.000, 0.575)
Pt (0.000, 0.000, 0.724)


# 2
# HfTe3Br

HfTe3Br after structural relaxation (PBE, Alexandria).

## Properties
Distance to the lowest polymorph of the same formula: 1091 meV/atom
Crystal system: cubic
Energy relative to the elements, uncorrected: 94.5 kJ per mole of atoms
Magnetic moment: 0.091 μB/atom
Fermi-level density of states: 0.932 states/eV per atom
DFT total energy: -16.16 eV for the cell shown

Cell: 5.432 5.432 5.432 Å, 90.00 90.00 90.00°
Space group Pm-3m (No. 221)
Asymmetric unit:
Hf (0.000, 0.000, 0.000)
Te (0.000, 0.500, 0.500)
Br (0.500, 0.500, 0.500)


# 3
# Ba4ZrMo

Ba4ZrMo after structural relaxation (PBE, Alexandria).

## Properties
ΔE_f: 1.34 eV per atom
Crystal system: cubic
Magnetic moment: 0.048 μB/atom
Fermi-level density of states: 1.608 states/eV per atom
DFT total energy: -76.15 eV for the cell shown

Cell: 10.021 10.021 10.021 Å, 90.00 90.00 90.00°
Space group F-43m (No. 216)
Asymmetric unit:
Ba (0.125, 0.125, 0.125)
Zr (0.000, 0.000, 0.500)
Mo (0.250, 0.250, 0.750)


# 4
# NbHgTe2

NbHgTe2 after structural relaxation (PBE, Alexandria).

## Properties
Distance to the lowest polymorph of the same formula: 22 meV/atom
Crystal system: trigonal
Energy relative to the elements, uncorrected: -30.5 kJ per mole of atoms
Magnetic moment: 0.000 μB/atom
Fermi-level density of states: 0.733 states/eV per atom
DFT total energy: -17.92 eV for the cell shown

Cell: 3.6541 3.6541 10.6498 Å, 90.00 90.00 120.00°
Space group P3m1 (No. 156)
Asymmetric unit:
Nb (0.0000, 0.0000, 0.0000)
Hg (0.3333, 0.6667, 0.4750)
Te (0.3333, 0.6667, 0.8252)
Te (0.6667, 0.3333, 0.1751)


# 5
# Sr2Zn3Au6

Sr2Zn3Au6 after structural relaxation (PBE, Alexandria).

## Properties
ΔE_f: -0.55 eV per atom
Crystal system: trigonal
Magnetic moment: 0.000 μB/atom
Fermi-level density of states: 0.412 states/eV per atom
DFT total energy: -197.08 eV for the cell shown

Cell: 8.5474 8.5474 22.1432 Å, 90.00 90.00 120.00°
Space group R-3c (No. 167, hexagonal axes)
Asymmetric unit:
Sr (0.0000, 0.0000, 0.0922)
Zn (0.0000, 0.1879, 0.2500)
Au (0.0130, 0.3696, 0.3492)


# 6
# CsPmIn2Br6

CsPmIn2Br6 after structural relaxation (PBE, Alexandria).

## Properties
Crystal system: triclinic
Energy relative to the elements, uncorrected: -134.1 kJ per mole of atoms
Magnetic moment: 0.000 μB/atom
Fermi-level density of states: 0.000 states/eV per atom
DFT total energy: -35.01 eV for the cell shown

Cell: 8.307 8.314 8.721 Å, 61.56 61.56 60.04°
Space group P1 (No. 1)
Asymmetric unit:
Cs (0.000, 0.000, 0.000)
Pm (0.516, 0.516, 0.452)
In (0.200, 0.200, 0.399)
In (0.712, 0.712, 0.863)
Br (0.162, 0.750, 0.659)
Br (0.353, 0.565, 0.192)
Br (0.429, 0.162, 0.658)
Br (0.565, 0.889, 0.192)
Br (0.750, 0.429, 0.658)
Br (0.889, 0.354, 0.192)


# 7
# Sr4Te3Cl

Sr4Te3Cl after structural relaxation (PBE, Alexandria).

## Properties
Crystal system: tetragonal
Energy relative to the elements, uncorrected: -165.2 kJ per mole of atoms
Magnetic moment: 0.000 μB/atom
Fermi-level density of states: 0.354 states/eV per atom
DFT total energy: -63.39 eV for the cell shown

Cell: 6.587 6.587 13.122 Å, 90.00 90.00 90.00°
Space group I4/mmm (No. 139)
Asymmetric unit:
Sr (0.000, 0.000, 0.249)
Sr (0.000, 0.500, 0.000)
Te (0.000, 0.000, 0.500)
Te (0.000, 0.500, 0.250)
Cl (0.000, 0.000, 0.000)


# 8
# Re3SiOs

Re3SiOs after structural relaxation (PBE, Alexandria).

## Properties
Distance to the lowest polymorph of the same formula: 0 meV/atom
Crystal system: cubic
Energy relative to the elements, uncorrected: 136.2 kJ per mole of atoms
Magnetic moment: 0.000 μB/atom
Fermi-level density of states: 0.948 states/eV per atom
DFT total energy: -46.94 eV for the cell shown

Cell: 4.333 4.333 4.333 Å, 90.00 90.00 90.00°
Space group Pm-3m (No. 221)
Asymmetric unit:
Re (0.000, 0.000, 0.500)
Si (0.000, 0.000, 0.000)
Os (0.500, 0.500, 0.500)


# 9
# La6Sn2SbSe3

La6Sn2SbSe3 after structural relaxation (PBE, Alexandria).

## Properties
Crystal system: monoclinic
Energy relative to the elements, uncorrected: -140.7 kJ per mole of atoms
Magnetic moment: 0.000 μB/atom
Fermi-level density of states: 0.297 states/eV per atom
DFT total energy: -139.29 eV for the cell shown

Cell: 19.521 4.510 8.953 Å, 90.00 102.51 90.00°
Space group C2/m (No. 12)
Asymmetric unit:
La (0.001, 0.000, 0.245)
La (0.165, 0.500, 0.087)
La (0.169, 0.500, 0.580)
Sn (0.166, 0.000, 0.832)
Sb (0.000, 0.500, 0.500)
Se (0.000, 0.500, 0.000)
Se (0.166, 0.000, 0.333)


# 10
# Sc3AgO

Sc3AgO after structural relaxation (PBE, Alexandria).

## Properties
Distance to the lowest polymorph of the same formula: 162 meV/atom
Crystal system: monoclinic
Energy relative to the elements, uncorrected: -116.3 kJ per mole of atoms
Magnetic moment: 0.000 μB/atom
Fermi-level density of states: 0.393 states/eV per atom
DFT total energy: -131.32 eV for the cell shown

Cell: 7.879 5.763 8.614 Å, 90.00 114.65 90.00°
Space group P2_1/c (No. 14)
Asymmetric unit:
Sc (0.058, 0.086, 0.351)
Sc (0.190, 0.575, 0.545)
Sc (0.353, 0.117, 0.764)
Ag (0.396, 0.672, 0.901)
O (0.075, 0.245, 0.599)


# 11
# Pu2Ge7Ru12

Pu2Ge7Ru12 after structural relaxation (PBE, Alexandria).

## Properties
ΔE_f: -0.22 eV per atom
Crystal system: hexagonal
Magnetic moment: 0.344 μB/atom
Fermi-level density of states: 1.794 states/eV per atom
DFT total energy: -176.96 eV for the cell shown

Cell: 9.8114 9.8114 4.0185 Å, 90.00 90.00 120.00°
Space group P-6 (No. 174)
Asymmetric unit:
Pu (0.0000, 0.0000, 0.0000)
Pu (0.3333, 0.6667, 0.5000)
Ge (0.0699, 0.4601, 0.0000)
Ge (0.2635, 0.2190, 0.5000)
Ge (0.6667, 0.3333, 0.0000)
Ru (0.0518, 0.2900, 0.5000)
Ru (0.1035, 0.7222, 0.0000)
Ru (0.3873, 0.1790, 0.0000)
Ru (0.5556, 0.4329, 0.5000)


# 12
# Li2TlMo

Li2TlMo after structural relaxation (PBE, Alexandria).

## Properties
ΔE_f: 0.45 eV per atom
Distance to the lowest polymorph of the same formula: 94 meV/atom
Crystal system: orthorhombic
Magnetic moment: 0.159 μB/atom
Fermi-level density of states: 0.667 states/eV per atom
DFT total energy: -15.23 eV for the cell shown

Cell: 2.835 4.270 5.944 Å, 90.00 90.00 90.00°
Space group Pmm2 (No. 25)
Asymmetric unit:
Li (0.000, 0.000, 0.000)
Li (0.500, 0.500, 0.242)
Tl (0.500, 0.500, 0.737)
Mo (0.000, 0.000, 0.485)